! Te2SeCl (PBE, relaxed); values from VASP
! ΔE_f (raw) = -0.008 eV/atom
! Magnetization = 0.000 μB per atom
! Energy relative to the lowest polymorph listed for this composition = 140.0 meV per atom
&SYSTEM
  ibrav = 0, nat = 4, ntyp = 3
/
ATOMIC_SPECIES
Te 127.60 Te.upf
Se 78.96 Se.upf
Cl 35.45 Cl.upf
CELL_PARAMETERS angstrom
5.5083 -1.9048 0.0000
5.5083 1.9048 0.0000
-3.2622 0.0000 7.0216
ATOMIC_POSITIONS angstrom
Te 0.0000 0.0000 0.0000
Te 3.8688 0.0000 5.3912
Se 0.5932 0.0000 5.6351
Cl 5.5626 0.0000 2.1070



! AlCr3 (PBE, relaxed); values from VASP
! Magnetization = 0.000 μB per atom
! E_form = 0.2123 eV/atom
&SYSTEM
  ibrav = 0, nat = 4, ntyp = 2
/
ATOMIC_SPECIES
Al 26.98 Al.upf
Cr 52.00 Cr.upf
CELL_PARAMETERS angstrom
2.4775 0.0000 0.0000
0.0000 2.4775 0.0000
0.0000 0.0000 8.1255
ATOMIC_POSITIONS angstrom
Al 0.0000 0.0000 0.0000
Cr 0.0000 0.0000 4.0628
Cr 1.2388 1.2388 2.0136
Cr 1.2388 1.2388 6.1119



! BaCa2Os (PBE, relaxed); values from VASP
! Magnetization = 0.000 μB per atom
! Energy relative to the lowest polymorph listed for this composition = 19.1 meV per atom
! E_form = 0.4178 eV/atom
&SYSTEM
  ibrav = 0, nat = 4, ntyp = 3
/
ATOMIC_SPECIES
Ba 137.33 Ba.upf
Ca 40.08 Ca.upf
Os 190.23 Os.upf
CELL_PARAMETERS angstrom
-1.7704 2.5488 7.8853
1.7704 -2.5488 7.8853
1.7704 2.5488 -7.8853
ATOMIC_POSITIONS angstrom
Ba 0.0000 0.0000 0.0000
Ca 1.7704 0.0000 5.3240
Ca 0.0000 0.0000 10.9501
Os 0.0000 2.5488 5.3576



| no. | theoretical density (Mg/m³) | uncorrected energy (eV for the cell shown) |
| --- | --- | --- |
| 1 | 4.165 | -11.65 |
| 2 | 6.092 | -31.76 |
| 3 | 4.757 | -15.48 |